# 1
Crystalline TiMnPd3 at its relaxed geometry. Source: the Alexandria database, functional PBE.

Summary:
E_form = 0.53 eV per atom
Relative energy among the computed polymorphs = 3.733 eV per formula unit
Calculated volume = 99.7 Å³/cell
Total DFT energy (no corrections) = -5.995 eV per atom

a b c (Å): 4.637 4.637 4.637
angles (deg): 90.00 90.00 90.00
Space group Pm-3m (No. 221)
Symmetry-distinct sites (fractional):
Ti1 0.000 0.000 0.000 x1
Mn1 0.500 0.500 0.500 x1
Pd1 0.000 0.000 0.500 x3

=====

# 2
Crystalline ErGa4Ag at its relaxed geometry. Source: the Alexandria database, functional PBE.

Summary:
E_form = -0.19 eV per atom
Relative energy among the computed polymorphs = 0.091 eV per formula unit
Calculated volume = 462.9 Å³/cell
Total DFT energy (no corrections) = -3.443 eV per atom

a b c (Å): 7.736 7.736 7.736
angles (deg): 90.00 90.00 90.00
Space group F-43m (No. 216)
Symmetry-distinct sites (fractional):
Er1 0.000 0.000 0.000 x4
Ga1 0.125 0.125 0.375 x16
Ag1 0.250 0.250 0.750 x4

=====

# 3
Crystalline KHgP3 at its relaxed geometry. Source: the Alexandria database, functional PBE.

Summary:
E_form = 1.89 eV per atom
Relative energy among the computed polymorphs = 5.108 eV per formula unit
Calculated volume = 157.1 Å³/cell
Total DFT energy (no corrections) = -1.632 eV per atom

a b c (Å): 5.396 5.396 5.396
angles (deg): 90.00 90.00 90.00
Space group Pm-3m (No. 221)
Symmetry-distinct sites (fractional):
K1 0.000 0.000 0.000 x1
Hg1 0.500 0.500 0.500 x1
P1 0.000 0.000 0.500 x3

=====

# 4
Crystalline Sm2TiMoN5 at its relaxed geometry. Source: the Alexandria database, functional PBE.

Summary:
Uncorrected formation energy = -1.138 eV per atom
Calculated volume = 459.0 Å³/cell
Total DFT energy (no corrections) = -8.892 eV per atom

a b c (Å): 3.338 13.345 10.304
angles (deg): 90.00 90.00 90.00
Space group Cmc2_1 (No. 36)
Symmetry-distinct sites (fractional):
Sm1 0.000 0.111 0.000 x4
Sm2 0.000 0.146 0.614 x4
Ti1 0.000 0.221 0.331 x4
Mo1 0.000 0.464 0.772 x4
N1 0.000 0.051 0.364 x4
N2 0.000 0.283 0.964 x4
N3 0.000 0.319 0.700 x4
N4 0.000 0.366 0.317 x4
N5 0.000 0.492 0.099 x4

=====

# 5
Crystalline HgMo2Ru at its relaxed geometry. Source: the Alexandria database, functional PBE.

Summary:
E_form = 0.80 eV per atom
Calculated volume = 291.9 Å³/cell
Total DFT energy (no corrections) = -7.013 eV per atom

a b c (Å): 7.349 7.349 5.406
angles (deg): 90.00 90.00 90.00
Space group I-42d (No. 122)
Symmetry-distinct sites (fractional):
Hg1 0.000 0.000 0.000 x4
Mo1 0.203 0.750 0.625 x8
Ru1 0.000 0.000 0.500 x4

=====

# 6
Crystalline Na2Cd2Pb5 at its relaxed geometry. Source: the Alexandria database, functional PBE.

Summary:
E_form = -0.01 eV per atom
Calculated volume = 1084.1 Å³/cell
Total DFT energy (no corrections) = -2.568 eV per atom

a b c (Å): 15.365 11.961 5.899
angles (deg): 90.00 90.00 90.00
Space group Ima2 (No. 46)
Symmetry-distinct sites (fractional):
Na1 0.000 0.000 0.000 x4
Na2 0.250 0.051 0.180 x4
Cd1 0.149 0.554 0.134 x8
Pb1 0.043 0.166 0.478 x8
Pb2 0.142 0.685 0.637 x8
Pb3 0.250 0.178 0.704 x4

=====

# 7
Crystalline BaTaSe2 at its relaxed geometry. Source: the Alexandria database, functional PBE.

Summary:
Uncorrected formation energy = -0.516 eV per atom
Relative energy among the computed polymorphs = 1.226 eV per formula unit
Calculated volume = 109.8 Å³/cell
Total DFT energy (no corrections) = -5.703 eV per atom

a b c (Å): 3.750 3.750 7.804
angles (deg): 90.00 90.00 90.00
Space group P4mm (No. 99)
Symmetry-distinct sites (fractional):
Ba1 0.000 0.000 0.000 x1
Ta1 0.500 0.500 0.552 x1
Se1 0.000 0.000 0.589 x1
Se2 0.500 0.500 0.231 x1

=====

# 8
Crystalline Pm12Tm3Mg at its relaxed geometry. Source: the Alexandria database, functional PBE.

Summary:
E_form = 0.01 eV per atom
Calculated volume = 525.2 Å³/cell
Total DFT energy (no corrections) = -4.490 eV per atom

a b c (Å): 5.075 5.075 20.391
angles (deg): 90.00 90.00 90.00
Space group P4/mmm (No. 123)
Symmetry-distinct sites (fractional):
Pm1 0.000 0.000 0.000 x1
Pm2 0.000 0.000 0.247 x2
Pm3 0.000 0.000 0.500 x1
Pm4 0.000 0.500 0.124 x4
Pm5 0.000 0.500 0.374 x4
Tm1 0.500 0.500 0.249 x2
Tm2 0.500 0.500 0.500 x1
Mg1 0.500 0.500 0.000 x1

=====

Which value of calculated volume does entry 3 give? 157.1 Å³/cell

=====

Which formula does entry 3 have? KHgP3

=====

Number 7 is which compound? BaTaSe2

=====

What is the calculated volume in the fourth record? 459.0 Å³/cell